1.
The following is a PBE calculation of a geometry-optimized K3Sb structure, from Alexandria via LeMat-Bulk.

abc: 6.8162 6.8162 6.8162
angles: 90.00 90.00 90.00
With the nearest neighbours (Å) after each atom.
Element x y z (fractional)
1 K 0.0000 0.2500 0.5000  2 K 3.41, 4 Sb 3.81
2 K 0.0000 0.7500 0.5000  2 K 3.41, 4 Sb 3.81
3 K 0.2500 0.5000 0.0000  2 K 3.41, 4 Sb 3.81
4 K 0.5000 0.0000 0.2500  2 K 3.41, 4 Sb 3.81
5 K 0.5000 0.0000 0.7500  2 K 3.41, 4 Sb 3.81
6 K 0.7500 0.5000 0.0000  2 K 3.41, 4 Sb 3.81
7 Sb 0.0000 0.0000 0.0000  12 K 3.81
8 Sb 0.5000 0.5000 0.5000  12 K 3.81

E_form (uncorrected): -368 meV/atom

2.
The following is a PBE calculation of a geometry-optimized BaCa2TeRh structure, from Alexandria via LeMat-Bulk.

abc: 5.4235 5.4235 5.9925
angles: 90.00 90.00 90.00
With the nearest neighbours (Å) after each atom.
Element x y z (fractional)
1 Ba 0.0000 0.0000 0.0000  2 Rh 3.00
2 Ca 0.0000 0.5000 0.5000  2 Rh 2.71
3 Ca 0.5000 0.0000 0.5000  2 Rh 2.71
4 Te 0.5000 0.5000 0.0000  4 Ba 3.83, 8 Ca 4.04
5 Rh 0.0000 0.0000 0.5000  4 Ca 2.71, 2 Ba 3.00

E_form (uncorrected): -632 meV/atom

3.
The following is a PBE calculation of a geometry-optimized LaMnBr4 structure, from Alexandria via LeMat-Bulk.

abc: 6.3097 6.3097 6.3097
angles: 60.00 60.00 60.00
With the nearest neighbours (Å) after each atom.
Element x y z (fractional)
1 La 0.0000 0.0000 0.0000  12 Br 3.70, 4 Mn 3.86
2 Mn 0.7500 0.7500 0.7500  12 Br 3.70, 4 La 3.86
3 Br 0.3750 0.3750 0.3750  6 Br 3.15-3.16
4 Br 0.3750 0.3750 0.8750  6 Br 3.15-3.16
5 Br 0.3750 0.8750 0.3750  6 Br 3.15-3.16
6 Br 0.8750 0.3750 0.3750  6 Br 3.15-3.16

E_form (uncorrected): 40 meV/atom

4.
The following is a PBE calculation of a geometry-optimized V2Fe2P structure, from Alexandria via LeMat-Bulk.

abc: 6.5868 6.5868 2.7830
angles: 90.00 90.00 90.00
With the nearest neighbours (Å) after each atom.
Element x y z (fractional)
1 V 0.1641 0.3359 0.0000  6 Fe 2.34-2.41
2 V 0.3359 0.8359 0.0000  6 Fe 2.34-2.41
3 V 0.6641 0.1641 0.0000  6 Fe 2.34-2.41
4 V 0.8359 0.6641 0.0000  6 Fe 2.34-2.41
5 Fe 0.1334 0.6334 0.5000  6 V 2.34-2.41, 1 Fe 2.49, 2 P 2.57
6 Fe 0.3666 0.1334 0.5000  6 V 2.34-2.41, 1 Fe 2.49, 2 P 2.57
7 Fe 0.6334 0.8666 0.5000  6 V 2.34-2.41, 1 Fe 2.49, 2 P 2.57
8 Fe 0.8666 0.3666 0.5000  6 V 2.34-2.41, 1 Fe 2.49, 2 P 2.57
9 P 0.0000 0.0000 0.5000  4 Fe 2.57, 2 P 2.78, 8 V 2.83
10 P 0.5000 0.5000 0.5000  4 Fe 2.57, 2 P 2.78, 8 V 2.83

energy of formation: 0.0 eV per formula unit

5.
The following is a PBE calculation of a geometry-optimized BeHg structure, from Alexandria via LeMat-Bulk.

abc: 4.3730 4.3730 4.7518
angles: 90.00 90.00 120.00
With the nearest neighbours (Å) after each atom.
Element x y z (fractional)
1 Be 0.3333 0.6667 0.2500  5 Hg 2.38-2.52
2 Be 0.6667 0.3333 0.7500  5 Hg 2.38-2.52
3 Hg 0.3333 0.6667 0.7500  5 Be 2.38-2.52
4 Hg 0.6667 0.3333 0.2500  5 Be 2.38-2.52

energy of formation: 1.2 eV per formula unit

6.
The following is a PBE calculation of a geometry-optimized PrErMgZn structure, from Alexandria via LeMat-Bulk.

abc: 3.6366 3.6366 7.8899
angles: 90.00 90.00 90.00
With the nearest neighbours (Å) after each atom.
Element x y z (fractional)
1 Pr 0.0000 0.0000 0.0000  4 Zn 3.24, 4 Mg 3.44, 1 Er 3.54
2 Er 0.0000 0.0000 0.4483  4 Zn 3.01, 4 Mg 3.30
3 Mg 0.5000 0.5000 0.7095  4 Er 3.30, 4 Pr 3.44, 1 Zn 3.63, 4 Mg 3.64
4 Zn 0.5000 0.5000 0.2493  4 Er 3.01, 4 Pr 3.24

energy of formation: -0.8 eV per formula unit

7.
The following is a PBE calculation of a geometry-optimized TaGe3As structure, from Alexandria via LeMat-Bulk.

abc: 5.0299 5.0299 5.0299
angles: 90.00 90.00 90.00
With the nearest neighbours (Å) after each atom.
Element x y z (fractional)
1 Ta 0.0000 0.0000 0.0000  6 Ge 2.51
2 Ge 0.0000 0.0000 0.5000  2 Ta 2.51
3 Ge 0.0000 0.5000 0.0000  2 Ta 2.51
4 Ge 0.5000 0.0000 0.0000  2 Ta 2.51
5 As 0.5000 0.5000 0.5000  12 Ge 3.56

energy of formation: 3.7 eV per formula unit

8.
The following is a PBE calculation of a geometry-optimized CeThH2 structure, from Alexandria via LeMat-Bulk.

abc: 6.2110 6.2110 6.2110
angles: 33.79 33.79 33.79
With the nearest neighbours (Å) after each atom.
Element x y z (fractional)
1 Ce 0.0000 0.0000 0.0000  6 H 2.55
2 Th 0.5000 0.5000 0.5000  6 H 2.55
3 H 0.2499 0.2499 0.2499  3 Th 2.55, 3 Ce 2.55
4 H 0.7501 0.7501 0.7501  3 Th 2.55, 3 Ce 2.55

9.
The following is a PBE calculation of a geometry-optimized ScCd2Ge structure, from Alexandria via LeMat-Bulk.

abc: 11.2674 11.2674 11.2674
angles: 159.34 159.34 29.38
With the nearest neighbours (Å) after each atom.
Element x y z (fractional)
1 Sc 0.0000 0.0000 0.0000  4 Ge 2.86, 4 Cd 3.08
2 Sc 0.7500 0.2500 0.5000  4 Ge 2.86, 4 Cd 3.08
3 Cd 0.1277 0.6250 0.0027  4 Cd 2.84-2.87, 2 Ge 3.07, 2 Sc 3.08
4 Cd 0.3750 0.3777 0.5027  4 Cd 2.84-2.87, 2 Ge 3.07, 2 Sc 3.08
5 Cd 0.6223 0.1250 0.9973  4 Cd 2.84-2.87, 2 Ge 3.07, 2 Sc 3.08
6 Cd 0.8750 0.8723 0.4973  4 Cd 2.84-2.87, 2 Ge 3.07, 2 Sc 3.08
7 Ge 0.2500 0.7500 0.5000  4 Sc 2.86, 4 Cd 3.07
8 Ge 0.5000 0.5000 0.0000  4 Sc 2.86, 4 Cd 3.07

energy of formation: -0.6 eV per formula unit

10.
The following is a PBE calculation of a geometry-optimized Ac2NdPd structure, from Alexandria via LeMat-Bulk.

abc: 10.1883 10.1883 10.1883
angles: 23.46 23.46 23.46
With the nearest neighbours (Å) after each atom.
Element x y z (fractional)
1 Ac 0.0000 0.0000 0.0000  3 Pd 3.06
2 Ac 0.2053 0.2053 0.2053  3 Pd 3.06
3 Nd 0.7698 0.7698 0.7698  6 Ac 3.87-3.89, 6 Nd 4.14
4 Pd 0.6027 0.6027 0.6027  6 Ac 3.06

energy of formation: -1.1 eV per formula unit

11.
The following is a PBE calculation of a geometry-optimized SrScCdGa structure, from Alexandria via LeMat-Bulk.

abc: 5.2430 5.2430 5.2430
angles: 60.00 60.00 60.00
With the nearest neighbours (Å) after each atom.
Element x y z (fractional)
1 Sr 0.0000 0.0000 0.0000  4 Cd 3.21, 4 Ga 3.21
2 Sc 0.5000 0.5000 0.5000  4 Cd 3.21, 4 Ga 3.21
3 Cd 0.7500 0.7500 0.7500  4 Sc 3.21, 4 Sr 3.21
4 Ga 0.2500 0.2500 0.2500  4 Sc 3.21, 4 Sr 3.21

energy of formation: -1.0 eV per formula unit

12.
The following is a PBE calculation of a geometry-optimized TbCd2Ag structure, from Alexandria via LeMat-Bulk.

abc: 4.4556 4.4556 4.7267
angles: 90.00 90.00 90.00
With the nearest neighbours (Å) after each atom.
Element x y z (fractional)
1 Tb 0.0000 0.0000 0.0000  4 Ag 3.15, 8 Cd 3.25
2 Cd 0.0000 0.5000 0.5000  4 Cd 3.15, 4 Tb 3.25, 4 Ag 3.25
3 Cd 0.5000 0.0000 0.5000  4 Cd 3.15, 4 Tb 3.25, 4 Ag 3.25
4 Ag 0.5000 0.5000 0.0000  4 Tb 3.15, 8 Cd 3.25

energy of formation: -0.8 eV per formula unit

| no. | calculated total energy (Ha/atom) | total moment (μB per cell) |
| --- | --- | --- |
| 1 | -0.082 | 0.0 |
| 2 | -0.144 | 0.0 |
| 3 | -0.126 | 5.9 |
| 4 | -0.298 | 0.0 |
| 5 | -0.052 | 0.0 |
| 6 | -0.120 | 0.0 |
| 7 | -0.196 | 0.0 |
| 8 | -0.196 | 0.0 |
| 9 | -0.123 | 0.0 |
| 10 | -0.177 | 0.0 |
| 11 | -0.119 | 0.0 |
| 12 | -0.093 | 0.0 |